# YSiF3, relaxed, DFT PBEsol
# Formation energy without anion corrections, eV per atom: -2.351
data_YSiF3
_cell_length_a 4.4016
_cell_length_b 4.4016
_cell_length_c 4.4016
_cell_angle_alpha 90.00
_cell_angle_beta 90.00
_cell_angle_gamma 90.00
_symmetry_space_group_name_H-M 'P m -3 m'
_symmetry_Int_Tables_number 221
_symmetry_space_group_name_Hall '-P 4 2 3'
loop_
_atom_site_label
_atom_site_type_symbol
_atom_site_fract_x
_atom_site_fract_y
_atom_site_fract_z
Y1 Y 0.0000 0.0000 0.0000
Si1 Si 0.5000 0.5000 0.5000
F1 F 0.0000 0.0000 0.5000